LiVP3O9 | PBE with a Hubbard U | relaxed

Properties
VASP energy ... -7.166 eV per atom

abc: 11.3352 6.7651 9.9318
angles: 90.00 91.08 90.00
Closest atoms and distances in Å follow each position.
Space group Cc (No. 9)
Unique sites:
Li 0.0000 0.1615 0.0000 x4  3 O 1.93-2.05
V 0.1828 0.4957 0.4630 x4  6 O 2.13-2.25
P 0.2261 0.1591 0.2079 x4  4 O 1.49-1.62
P 0.3241 0.2513 0.7109 x4  4 O 1.49-1.61
P 0.4855 0.0972 0.2197 x4  4 O 1.49-1.61
O 0.0329 0.3474 0.8577 x4  1 P 1.51
O 0.0618 0.3713 0.6015 x4  1 P 1.49
O 0.1628 0.2245 0.0802 x4  1 P 1.51
O 0.1825 0.2301 0.3401 x4  1 P 1.49
O 0.2263 0.0790 0.7071 x4  2 P 1.61
O 0.3084 0.3770 0.8322 x4  1 P 1.49
O 0.3326 0.3522 0.5749 x4  1 P 1.52
O 0.3641 0.2129 0.1908 x4  2 P 1.60-1.62
O 0.4459 0.1314 0.7283 x4  2 P 1.61